## KTlNi2 (PBE)

Data for crystalline KTlNi2 at its relaxed geometry.

Cell: 9.2018 9.2018 9.2018 Å, 20.85 20.85 20.85°
Closest atoms and distances in Å follow each position.
Element x y z (fractional)
K1 0.2500 0.2500 0.2500  6 Ni 3.29, 6 K 3.33
Ni1 0.0155 0.0155 0.0155  3 Tl 2.66
Ni2 0.4845 0.4845 0.4845  3 Tl 2.66
Tl1 0.7500 0.7500 0.7500  6 Ni 2.66

Properties
DFT total energy, eV per atom: -3.013
Fermi-level density of states, states/eV per cell: 3.066
Density, g/cm3: 6.936
DFT formation energy, meV per atom: 744
Total magnetization, μB/atom: 0.000